# 1
An optimized crystal structure of NdSm2Th3Te6. Source: Alexandria, functional PBE.

Fermi-level density of states: 20.33 states/eV/cell
Theoretical density: 8.402 g cm⁻³
Formation energy (no corrections): -1190 meV per atom

Cell lengths 19.929, 4.386, 9.096 Å; angles 90.00, 108.58, 90.00 degrees
Space group C2/m (No. 12)
Unique sites:
Nd 0.000 0.000 0.000 (multiplicity 2)
Sm 0.167 0.500 0.332 (multiplicity 4)
Th 0.000 0.000 0.500 (multiplicity 2)
Th 0.165 0.500 0.830 (multiplicity 4)
Te 0.002 0.500 0.250 (multiplicity 4)
Te 0.167 0.000 0.086 (multiplicity 4)
Te 0.168 0.000 0.578 (multiplicity 4)

***

# 2
An optimized crystal structure of Nd2Sm3ThTe6. Source: Alexandria, functional PBE.

Fermi-level density of states: 16.32 states/eV/cell
Theoretical density: 7.633 g cm⁻³
Formation energy (no corrections): -1327 meV per atom

Cell lengths 19.434, 4.451, 8.970 Å; angles 90.00, 103.03, 90.00 degrees
Space group C2/m (No. 12)
Unique sites:
Nd 0.165 0.000 0.331 (multiplicity 4)
Sm 0.000 0.500 0.500 (multiplicity 2)
Sm 0.167 0.000 0.835 (multiplicity 4)
Th 0.000 0.500 0.000 (multiplicity 2)
Te 0.002 0.000 0.747 (multiplicity 4)
Te 0.167 0.500 0.586 (multiplicity 4)
Te 0.168 0.500 0.081 (multiplicity 4)

***

# 3
An optimized crystal structure of Nd2SmThTe5. Source: Alexandria, functional PBE.

Fermi-level density of states: 8.58 states/eV/cell
Theoretical density: 5.797 g cm⁻³
Formation energy (no corrections): -633 meV per atom

Cell lengths 5.605, 5.605, 11.936 Å; angles 90.00, 90.00, 90.00 degrees
Space group P4/mmm (No. 123)
Unique sites:
Nd 0.000 0.000 0.150 (multiplicity 2)
Sm 0.500 0.500 0.000 (multiplicity 1)
Th 0.500 0.500 0.500 (multiplicity 1)
Te 0.000 0.000 0.500 (multiplicity 1)
Te 0.000 0.500 0.000 (multiplicity 2)
Te 0.500 0.500 0.255 (multiplicity 2)

***

# 4
An optimized crystal structure of Nd2SmTh3Te6. Source: Alexandria, functional PBE.

Fermi-level density of states: 20.71 states/eV/cell
Theoretical density: 8.325 g cm⁻³
Formation energy (no corrections): -1196 meV per atom

Cell lengths 19.926, 4.410, 9.080 Å; angles 90.00, 108.15, 90.00 degrees
Space group C2/m (No. 12)
Unique sites:
Nd 0.167 0.000 0.333 (multiplicity 4)
Sm 0.000 0.500 0.000 (multiplicity 2)
Th 0.000 0.500 0.500 (multiplicity 2)
Th 0.168 0.000 0.834 (multiplicity 4)
Te 0.000 0.000 0.246 (multiplicity 4)
Te 0.165 0.500 0.083 (multiplicity 4)
Te 0.167 0.500 0.582 (multiplicity 4)

***

# 5
An optimized crystal structure of NdSm3Tl4Te8. Source: Alexandria, functional PBE.

Theoretical density: 6.930 g cm⁻³
Formation energy (no corrections): -1071 meV per atom

Cell lengths 9.0726, 9.0726, 24.5391 Å; angles 90.00, 90.00, 120.00 degrees
Space group R-3m (No. 166, hexagonal axes)
Unique sites:
Nd 0.0000 0.0000 0.0000 (multiplicity 3)
Sm 0.0000 0.5000 0.0000 (multiplicity 9)
Tl 0.0000 0.0000 0.5000 (multiplicity 3)
Tl 0.0000 0.5000 0.5000 (multiplicity 9)
Te 0.0000 0.0000 0.2608 (multiplicity 6)
Te 0.0025 0.5013 0.2603 (multiplicity 18)

***

# 6
An optimized crystal structure of Nd2SmTl3Te6. Source: Alexandria, functional PBE.

Theoretical density: 6.842 g cm⁻³
Formation energy (no corrections): -1074 meV per atom

Cell lengths 7.892, 13.668, 8.592 Å; angles 90.00, 107.84, 90.00 degrees
Space group C2/m (No. 12)
Unique sites:
Nd 0.000 0.166 0.000 (multiplicity 4)
Sm 0.000 0.500 0.000 (multiplicity 2)
Tl 0.000 0.000 0.500 (multiplicity 2)
Tl 0.000 0.332 0.500 (multiplicity 4)
Te 0.238 0.335 0.219 (multiplicity 8)
Te 0.243 0.000 0.220 (multiplicity 4)

***

# 7
An optimized crystal structure of Nd3Sm3TmTe8. Source: Alexandria, functional PBE.

Fermi-level density of states: 21.23 states/eV/cell
Theoretical density: 6.907 g cm⁻³
Formation energy (no corrections): -1426 meV per atom

Cell lengths 8.8896, 8.8896, 21.8501 Å; angles 90.00, 90.00, 120.00 degrees
Space group R-3m (No. 166, hexagonal axes)
Unique sites:
Nd 0.0000 0.5000 0.0000 (multiplicity 9)
Sm 0.0000 0.5000 0.5000 (multiplicity 9)
Tm 0.0000 0.0000 0.5000 (multiplicity 3)
Te 0.0000 0.0000 0.2486 (multiplicity 6)
Te 0.0009 0.5005 0.2484 (multiplicity 18)

***

# 8
An optimized crystal structure of Nd2SmTmTe5. Source: Alexandria, functional PBE.

Fermi-level density of states: 5.48 states/eV/cell
Theoretical density: 5.888 g cm⁻³
Formation energy (no corrections): -840 meV per atom

Cell lengths 5.484, 5.484, 11.681 Å; angles 90.00, 90.00, 90.00 degrees
Space group P4/mmm (No. 123)
Unique sites:
Nd 0.000 0.000 0.162 (multiplicity 2)
Sm 0.500 0.500 0.500 (multiplicity 1)
Tm 0.500 0.500 0.000 (multiplicity 1)
Te 0.000 0.000 0.500 (multiplicity 1)
Te 0.000 0.500 0.000 (multiplicity 2)
Te 0.500 0.500 0.251 (multiplicity 2)

***

# 9
An optimized crystal structure of NdSm3Tm2Te6. Source: Alexandria, functional PBE.

Fermi-level density of states: 13.58 states/eV/cell
Theoretical density: 7.764 g cm⁻³
Formation energy (no corrections): -1322 meV per atom

Cell lengths 19.218, 4.366, 8.891 Å; angles 90.00, 103.06, 90.00 degrees
Space group C2/m (No. 12)
Unique sites:
Nd 0.000 0.000 0.000 (multiplicity 2)
Sm 0.000 0.000 0.500 (multiplicity 2)
Sm 0.159 0.500 0.834 (multiplicity 4)
Tm 0.164 0.500 0.330 (multiplicity 4)
Te 0.006 0.500 0.256 (multiplicity 4)
Te 0.171 0.000 0.095 (multiplicity 4)
Te 0.171 0.000 0.578 (multiplicity 4)

***

# 10
An optimized crystal structure of Nd3Sm2TmTe6. Source: Alexandria, functional PBE.

Fermi-level density of states: 13.27 states/eV/cell
Theoretical density: 7.412 g cm⁻³
Formation energy (no corrections): -1371 meV per atom

Cell lengths 19.442, 4.411, 8.967 Å; angles 90.00, 103.59, 90.00 degrees
Space group C2/m (No. 12)
Unique sites:
Nd 0.000 0.000 0.000 (multiplicity 2)
Nd 0.172 0.500 0.335 (multiplicity 4)
Sm 0.170 0.500 0.837 (multiplicity 4)
Tm 0.000 0.000 0.500 (multiplicity 2)
Te 0.000 0.500 0.262 (multiplicity 4)
Te 0.160 0.000 0.583 (multiplicity 4)
Te 0.166 0.000 0.081 (multiplicity 4)

***

# 11
An optimized crystal structure of NdSm3Y2Te6. Source: Alexandria, functional PBE.

Fermi-level density of states: 13.31 states/eV/cell
Theoretical density: 6.936 g cm⁻³
Formation energy (no corrections): -1366 meV per atom

Cell lengths 19.282, 4.405, 8.905 Å; angles 90.00, 103.04, 90.00 degrees
Space group C2/m (No. 12)
Unique sites:
Nd 0.000 0.000 0.000 (multiplicity 2)
Sm 0.000 0.000 0.500 (multiplicity 2)
Sm 0.162 0.500 0.833 (multiplicity 4)
Y 0.165 0.500 0.330 (multiplicity 4)
Te 0.003 0.500 0.255 (multiplicity 4)
Te 0.169 0.000 0.580 (multiplicity 4)
Te 0.170 0.000 0.090 (multiplicity 4)

***

# 12
An optimized crystal structure of Nd2SmYTe6. Source: Alexandria, functional PBE.

Theoretical density: 5.602 g cm⁻³
Formation energy (no corrections): -1381 meV per atom

Cell lengths 7.8798, 7.8798, 21.3899 Å; angles 90.00, 90.00, 120.00 degrees
Space group R3 (No. 146, hexagonal axes)
Unique sites:
Nd 0.0000 0.0000 0.0000 (multiplicity 3)
Nd 0.0000 0.0000 0.4991 (multiplicity 3)
Sm 0.0000 0.0000 0.1901 (multiplicity 3)
Y 0.0000 0.0000 0.6890 (multiplicity 3)
Te 0.0286 0.3478 0.7634 (multiplicity 9)
Te 0.0307 0.6758 0.2643 (multiplicity 9)

***

# 13
An optimized crystal structure of Nd4SmY3Te8. Source: Alexandria, functional PBE.

Fermi-level density of states: 36.87 states/eV/cell
Theoretical density: 6.743 g cm⁻³
Formation energy (no corrections): -1374 meV per atom

Cell lengths 8.8395, 8.8395, 21.9985 Å; angles 90.00, 90.00, 120.00 degrees
Space group R-3m (No. 166, hexagonal axes)
Unique sites:
Nd 0.0000 0.0000 0.0000 (multiplicity 3)
Nd 0.0000 0.5000 0.0000 (multiplicity 9)
Sm 0.0000 0.0000 0.5000 (multiplicity 3)
Y 0.0000 0.5000 0.5000 (multiplicity 9)
Te 0.0000 0.0000 0.2461 (multiplicity 6)
Te 0.0032 0.5016 0.7531 (multiplicity 18)

***

# 14
An optimized crystal structure of Nd3SmY2Te6. Source: Alexandria, functional PBE.

Fermi-level density of states: 12.89 states/eV/cell
Theoretical density: 6.799 g cm⁻³
Formation energy (no corrections): -1381 meV per atom

Cell lengths 19.408, 4.413, 8.961 Å; angles 90.00, 103.72, 90.00 degrees
Space group C2/m (No. 12)
Unique sites:
Nd 0.000 0.000 0.000 (multiplicity 2)
Nd 0.164 0.500 0.333 (multiplicity 4)
Sm 0.000 0.000 0.500 (multiplicity 2)
Y 0.165 0.500 0.831 (multiplicity 4)
Te 0.003 0.500 0.749 (multiplicity 4)
Te 0.167 0.000 0.591 (multiplicity 4)
Te 0.170 0.000 0.077 (multiplicity 4)

***

# 15
An optimized crystal structure of Nd2Sm3YTe6. Source: Alexandria, functional PBE.

Fermi-level density of states: 13.22 states/eV/cell
Theoretical density: 7.079 g cm⁻³
Formation energy (no corrections): -1385 meV per atom

Cell lengths 19.375, 4.428, 8.944 Å; angles 90.00, 102.96, 90.00 degrees
Space group C2/m (No. 12)
Unique sites:
Nd 0.169 0.000 0.336 (multiplicity 4)
Sm 0.000 0.500 0.500 (multiplicity 2)
Sm 0.171 0.000 0.834 (multiplicity 4)
Y 0.000 0.500 0.000 (multiplicity 2)
Te 0.002 0.000 0.756 (multiplicity 4)
Te 0.163 0.500 0.078 (multiplicity 4)
Te 0.164 0.500 0.585 (multiplicity 4)

***

# 16
An optimized crystal structure of Nd2SmYTe5. Source: Alexandria, functional PBE.

Fermi-level density of states: 4.38 states/eV/cell
Theoretical density: 5.222 g cm⁻³
Formation energy (no corrections): -758 meV per atom

Cell lengths 5.644, 5.644, 11.636 Å; angles 90.00, 90.00, 90.00 degrees
Space group P4/mmm (No. 123)
Unique sites:
Nd 0.000 0.000 0.159 (multiplicity 2)
Sm 0.500 0.500 0.000 (multiplicity 1)
Y 0.500 0.500 0.500 (multiplicity 1)
Te 0.000 0.000 0.500 (multiplicity 1)
Te 0.000 0.500 0.000 (multiplicity 2)
Te 0.500 0.500 0.257 (multiplicity 2)

***

# 17
An optimized crystal structure of Nd3Sm3YTe8. Source: Alexandria, functional PBE.

Fermi-level density of states: 21.77 states/eV/cell
Theoretical density: 6.632 g cm⁻³
Formation energy (no corrections): -1442 meV per atom

Cell lengths 8.8952, 8.8952, 21.8505 Å; angles 90.00, 90.00, 120.00 degrees
Space group R-3m (No. 166, hexagonal axes)
Unique sites:
Nd 0.0000 0.5000 0.0000 (multiplicity 9)
Sm 0.0000 0.5000 0.5000 (multiplicity 9)
Y 0.0000 0.0000 0.5000 (multiplicity 3)
Te 0.0000 0.0000 0.2486 (multiplicity 6)
Te 0.0030 0.5015 0.7506 (multiplicity 18)

***

# 18
An optimized crystal structure of NdSm4Y3Te8. Source: Alexandria, functional PBE.

Fermi-level density of states: 36.79 states/eV/cell
Theoretical density: 6.896 g cm⁻³
Formation energy (no corrections): -1356 meV per atom

Cell lengths 8.8395, 8.8395, 21.7064 Å; angles 90.00, 90.00, 120.00 degrees
Space group R-3m (No. 166, hexagonal axes)
Unique sites:
Nd 0.0000 0.0000 0.0000 (multiplicity 3)
Sm 0.0000 0.0000 0.5000 (multiplicity 3)
Sm 0.0000 0.5000 0.5000 (multiplicity 9)
Y 0.0000 0.5000 0.0000 (multiplicity 9)
Te 0.0000 0.0000 0.2524 (multiplicity 6)
Te 0.0051 0.5026 0.2511 (multiplicity 18)

***

# 19
An optimized crystal structure of Nd4Sm3YTe8. Source: Alexandria, functional PBE.

Fermi-level density of states: 37.83 states/eV/cell
Theoretical density: 7.057 g cm⁻³
Formation energy (no corrections): -1390 meV per atom

Cell lengths 8.9127, 8.9127, 21.9388 Å; angles 90.00, 90.00, 120.00 degrees
Space group R-3m (No. 166, hexagonal axes)
Unique sites:
Nd 0.0000 0.0000 0.0000 (multiplicity 3)
Nd 0.0000 0.5000 0.0000 (multiplicity 9)
Sm 0.0000 0.5000 0.5000 (multiplicity 9)
Y 0.0000 0.0000 0.5000 (multiplicity 3)
Te 0.0000 0.0000 0.2485 (multiplicity 6)
Te 0.0033 0.5016 0.2477 (multiplicity 18)

***

# 20
An optimized crystal structure of NdSm12Th7. Source: Alexandria, functional PBE.

Fermi-level density of states: 87.74 states/eV/cell
Theoretical density: 7.665 g cm⁻³
Energy of formation: 0.878 eV per atom

Cell lengths 11.568, 11.568, 11.568 Å; angles 90.00, 90.00, 90.00 degrees
Space group Im-3 (No. 204)
Unique sites:
Nd 0.000 0.000 0.000 (multiplicity 2)
Sm 0.000 0.306 0.232 (multiplicity 24)
Th 0.000 0.000 0.500 (multiplicity 6)
Th 0.250 0.250 0.250 (multiplicity 8)